Model A:
Computed, not measured: a relaxed structure of La2Pm9Ho at the GGA-PBE level of DFT.

```
La2Pm9Ho
1.0
5.1692 0.0000 0.0000
0.0000 5.1692 0.0000
0.0000 0.0000 15.5243
Pm La Ho
9 2 1
Direct
0.5000 0.5000 0.3313
0.5000 0.0000 0.5000
0.0000 0.5000 0.5000
0.5000 0.0000 0.1634
0.0000 0.5000 0.1634
0.0000 0.5000 0.8366
0.5000 0.0000 0.8366
0.5000 0.5000 0.0000
0.5000 0.5000 0.6687
0.0000 0.0000 0.3324
0.0000 0.0000 0.6676
0.0000 0.0000 0.0000
```

The magnetization is 0.00 μB/atom. The value obtained for the volume is 34.6 A^3/atom.

Model B:
Computed, not measured: a relaxed structure of La2Pm9Ho at the GGA-PBE level of DFT.

```
La2Pm9Ho
1.0
3.5549 0.0000 0.0000
0.0000 11.5696 0.0000
0.0000 -5.7848 10.0196
Pm Ho La
9 1 2
Direct
0.0000 0.5000 0.5000
0.5000 0.8303 0.6605
0.5000 0.1697 0.3395
0.0000 0.0000 0.5000
0.5000 0.8303 0.1697
0.0000 0.5000 0.0000
0.5000 0.1697 0.8303
0.5000 0.3395 0.1697
0.5000 0.6605 0.8303
0.0000 0.0000 0.0000
0.0000 0.6667 0.3333
0.0000 0.3333 0.6667
```

The magnetization is 0.00 μB/atom. The value obtained for the volume is 34.3 A^3/atom.

Energies relative to the minimum, kJ/mol of atoms: model A 0.0; model B 3.9

Model A:
Computed, not measured: a relaxed structure of La3Pm7Ho at the GGA-PBE level of DFT.

```
La3Pm7Ho
1.0
5.9854 -0.1929 -0.2470
-2.6896 8.1296 1.1335
-2.6896 -0.8712 8.1619
Pm La Ho
7 3 1
Direct
0.7913 0.7911 0.7911
0.6988 0.4031 0.9949
0.0000 0.5000 0.5000
0.3012 0.0051 0.5969
0.6988 0.9949 0.4031
0.2087 0.2089 0.2089
0.3012 0.5969 0.0051
0.0000 0.7867 0.2133
0.0000 0.2133 0.7867
0.5000 0.0000 0.0000
0.5000 0.5000 0.5000
```

The magnetization is 0.00 μB/atom. The value obtained for the volume is 35.8 A^3/atom.

Model B:
Computed, not measured: a relaxed structure of La3Pm7Ho at the GGA-PBE level of DFT.

```
La3Pm7Ho
1.0
-5.4859 -1.9753 2.9532
2.2252 -7.5254 0.0317
3.3577 -0.1149 7.0918
Pm Ho La
7 1 3
Direct
0.2126 0.7603 0.7603
0.7378 0.9107 0.5683
0.2622 0.0893 0.4317
0.7378 0.5683 0.9107
0.7874 0.2397 0.2397
0.2622 0.4317 0.0893
0.0000 0.5000 0.5000
0.5000 0.5000 0.5000
0.5000 0.0000 0.0000
0.0000 0.1754 0.8246
0.0000 0.8246 0.1754
```

The magnetization is 0.00 μB/atom. The value obtained for the volume is 36.1 A^3/atom.

Energies relative to the minimum, kJ/mol of atoms: model A 1.5; model B 0.0